Record 1
12
Lattice="3.6496 2.5389 1.6396 1.4021 17.8801 8.6167 1.2411 9.4555 10.2004" Properties=species:S:1:pos:R:3 comment="MgS4Br | the Alexandria database | PBE-GGA | optimized geometry" vol_a3_per_atom=28.7 mass_density_g_cm3=2.24 e_form_raw_mev_per_atom=-335 pbc="T T T"
Mg 4.4498 19.1313 12.2641
Mg 1.8430 10.7431 8.1925
S 2.2531 14.5319 10.3018
S 4.7986 18.7456 9.7014
S 5.0140 24.8528 15.9814
S 4.1685 26.4600 17.9658
S 4.0397 15.3425 10.1548
S 1.2788 5.0216 4.4753
S 1.4942 11.1288 10.7552
S 2.1243 3.4145 2.4909
Br 4.1393 12.0416 7.9325
Br 2.1535 17.8328 12.5241

Record 2
5
Lattice="4.8303 0.0000 0.0000 0.0000 4.8303 0.0000 0.0000 0.0000 4.8303" Properties=species:S:1:pos:R:3 comment="MgS3Br | the Alexandria database | PBE-GGA | optimized geometry" e_above_lowest_polymorph_mev_per_atom=0.0 vol_a3_per_atom=22.5 mass_density_g_cm3=2.95 e_form_raw_mev_per_atom=479 pbc="T T T"
S 0.0000 2.4152 0.0000
S 0.0000 0.0000 2.4152
S 2.4152 0.0000 0.0000
Mg 0.0000 0.0000 0.0000
Br 2.4152 2.4152 2.4152

Record 3
5
Lattice="5.2989 0.0000 0.0000 0.0000 5.2989 0.0000 0.0000 0.0000 5.2989" Properties=species:S:1:pos:R:3 comment="Mg3SBr | the Alexandria database | PBE-GGA | optimized geometry" e_above_lowest_polymorph_mev_per_atom=592.8 vol_a3_per_atom=29.8 mass_density_g_cm3=2.06 e_form_raw_mev_per_atom=347 pbc="T T T"
S 2.6495 2.6495 2.6495
Mg 0.0000 2.6495 0.0000
Mg 0.0000 0.0000 2.6495
Mg 2.6495 0.0000 0.0000
Br 0.0000 0.0000 0.0000

Record 4
5
Lattice="4.8980 0.0000 0.0000 0.0000 4.8980 0.0000 0.0000 0.0000 5.1282" Properties=species:S:1:pos:R:3 comment="MgSe2SBr | the Alexandria database | PBE-GGA | optimized geometry" e_above_lowest_polymorph_mev_per_atom=46.3 vol_a3_per_atom=24.6 mass_density_g_cm3=3.97 e_form_raw_mev_per_atom=137 pbc="T T T"
Mg 2.4490 2.4490 2.5641
S 0.0000 0.0000 0.0000
Se 0.0000 2.4490 0.0000
Se 2.4490 0.0000 0.0000
Br 0.0000 0.0000 2.5641

Record 5
5
Lattice="-4.1882 -0.2234 2.5511 1.3107 -4.6285 1.7466 2.2309 2.0827 3.8450" Properties=species:S:1:pos:R:3 comment="MgSe2SBr | the Alexandria database | PBE-GGA | optimized geometry" e_above_lowest_polymorph_mev_per_atom=0.0 vol_a3_per_atom=24.7 mass_density_g_cm3=3.96 e_form_raw_mev_per_atom=91 pbc="T T T"
Mg 0.6554 -2.3142 0.8733
S 0.0000 0.0000 0.0000
Se 1.1155 1.0414 1.9225
Se -2.0941 -0.1117 1.2755
Br -0.3233 -1.3846 4.0713

Record 6
5
Lattice="5.1608 0.0000 0.0000 0.0000 5.1608 0.0000 0.0000 0.0000 4.8628" Properties=species:S:1:pos:R:3 comment="MgSe2SBr | the Alexandria database | PBE-GGA | optimized geometry" e_above_lowest_polymorph_mev_per_atom=278.2 vol_a3_per_atom=25.9 mass_density_g_cm3=3.77 e_form_raw_mev_per_atom=369 pbc="T T T"
Mg 0.0000 0.0000 0.0000
S 2.5804 2.5804 2.4314
Se 0.0000 2.5804 0.0000
Se 2.5804 0.0000 0.0000
Br 0.0000 0.0000 2.4314

Record 7
5
Lattice="5.0026 0.0000 0.0000 0.0000 5.0026 0.0000 0.0000 0.0000 5.5997" Properties=species:S:1:pos:R:3 comment="MgSeSBr2 | the Alexandria database | PBE-GGA | optimized geometry" e_above_lowest_polymorph_mev_per_atom=0.0 vol_a3_per_atom=28.0 mass_density_g_cm3=3.50 e_form_raw_mev_per_atom=102 pbc="T T T"
Mg 0.0000 0.0000 0.0000
S 2.5013 2.5013 2.7998
Se 0.0000 0.0000 2.7998
Br 0.0000 2.5013 0.0000
Br 2.5013 0.0000 0.0000

Record 8
5
Lattice="5.0940 0.0000 0.0000 0.0000 5.0940 0.0000 0.0000 0.0000 5.0543" Properties=species:S:1:pos:R:3 comment="MgSeSBr2 | the Alexandria database | PBE-GGA | optimized geometry" e_above_lowest_polymorph_mev_per_atom=5.3 vol_a3_per_atom=26.2 mass_density_g_cm3=3.74 e_form_raw_mev_per_atom=107 pbc="T T T"
Mg 2.5470 2.5470 2.5272
S 0.0000 0.0000 0.0000
Se 0.0000 0.0000 2.5272
Br 0.0000 2.5470 0.0000
Br 2.5470 0.0000 0.0000

Record 9
5
Lattice="-0.0862 3.2704 4.0719 -5.2921 -1.7708 1.3101 2.0053 -3.7396 3.0459" Properties=species:S:1:pos:R:3 comment="Mg2TeSBr | the Alexandria database | PBE-GGA | optimized geometry" vol_a3_per_atom=31.3 mass_density_g_cm3=3.06 e_form_raw_mev_per_atom=533 pbc="T T T"
S -1.6865 -1.1200 4.2140
Te -2.6461 -0.8854 0.6551
Mg 1.0027 -1.8698 1.5230
Mg -0.0431 1.6352 2.0360
Br 0.0000 0.0000 0.0000

Record 10
5
Lattice="5.3375 0.0000 0.0000 0.0000 4.4797 0.0000 0.0000 0.0000 5.3375" Properties=species:S:1:pos:R:3 comment="MgV2SBr | the Alexandria database | PBE-GGA | optimized geometry" vol_a3_per_atom=25.5 mass_density_g_cm3=3.10 e_form_raw_mev_per_atom=1013 pbc="T T T"
S 0.0000 2.2399 0.0000
Mg 0.0000 0.0000 0.0000
Br 2.6688 2.2399 2.6688
V 0.0000 0.0000 2.6688
V 2.6688 0.0000 0.0000

Record 11
5
Lattice="-3.3131 3.2400 1.6768 -3.3336 -1.2074 -4.2536 -2.1232 -3.5544 2.6728" Properties=species:S:1:pos:R:3 comment="Mg2ZnSBr | the Alexandria database | PBE-GGA | optimized geometry" vol_a3_per_atom=26.9 mass_density_g_cm3=2.79 e_form_raw_mev_per_atom=-182 pbc="T T T"
Mg -1.0616 -1.7772 1.3364
Mg -1.6565 1.6200 0.8384
Zn -1.6668 -0.6037 -2.1268
S 0.0000 0.0000 0.0000
Br -4.3849 -0.7609 0.0480

Record 12
4
Lattice="-1.0524 2.9764 1.6565 1.4418 -1.1803 3.0395 7.1015 3.6064 -1.9682" Properties=species:S:1:pos:R:3 comment="MgSb2Br | the Alexandria database | PBE-GGA | optimized geometry" e_above_lowest_polymorph_mev_per_atom=322.5 vol_a3_per_atom=26.1 mass_density_g_cm3=5.54 e_form_raw_mev_per_atom=-89 pbc="T T T"
Br 1.9701 1.7996 1.8560
Mg 5.5208 3.6028 0.8719
Sb 6.8259 3.4664 -1.8918
Sb 3.8263 1.9431 -1.0605

Record 13
4
Lattice="3.5789 -0.0196 0.0000 -1.3344 3.3209 0.0000 0.0000 0.0000 10.0476" Properties=species:S:1:pos:R:3 comment="MgSb2Br | the Alexandria database | PBE-GGA | optimized geometry" e_above_lowest_polymorph_mev_per_atom=154.1 vol_a3_per_atom=29.8 mass_density_g_cm3=4.85 e_form_raw_mev_per_atom=-258 pbc="T T T"
Br 0.0000 0.0000 5.8736
Mg 1.1222 1.6506 7.5275
Sb 0.0000 0.0000 9.7699
Sb 1.1222 1.6506 1.9481

Record 14
4
Lattice="2.3519 3.3454 3.3430 -1.4454 0.1104 5.0791 3.2692 -1.8428 3.7169" Properties=species:S:1:pos:R:3 comment="MgSb2Br | the Alexandria database | PBE-GGA | optimized geometry" e_above_lowest_polymorph_mev_per_atom=540.2 vol_a3_per_atom=26.0 mass_density_g_cm3=5.54 e_form_raw_mev_per_atom=128 pbc="T T T"
Sb 1.0439 0.4033 3.0347
Sb 3.1318 1.2098 9.1042
Mg 0.0000 0.0000 0.0000
Br 2.0879 0.8065 6.0695